## TcAgAu2 (SCAN)

Data for TcAgAu2 at its PBEsol-relaxed geometry.

```
TcAgAu2
1.0
-2.0376 2.0376 3.9148
2.0376 -2.0376 3.9148
2.0376 2.0376 -3.9148
Tc Ag Au
1 1 2
Cartesian
0.0000 0.0000 0.0000 Tc
0.0000 2.0376 1.9574 Ag
2.0376 0.0000 1.9574 Au
0.0000 0.0000 3.9148 Au
```

## Properties
The total energy is -50.839 eV/atom. The value obtained for the magnetization is 0.735 μB per atom. The offset from the most stable computed form is 152.4 meV per atom.